4
Lattice="3.896 0.000 0.000 0.000 3.899 0.000 0.000 0.000 3.817" Properties=species:S:1:pos:R:3 comment="MgZn2Fe (PBE, optimized geometry)" total_magnetization_mub_per_cell=2.0 energy_ev_per_atom=-3.12 pbc="T T T"
Fe 1.948 0.000 1.908
Mg 0.000 1.950 1.908
Zn 0.000 0.000 0.000
Zn 1.948 1.950 0.000

=====

4
Lattice="-0.694 -3.634 0.360 2.679 -0.443 0.692 1.369 0.349 6.169" Properties=species:S:1:pos:R:3 comment="MgZn2Fe (PBE, optimized geometry)" total_magnetization_mub_per_cell=2.2 energy_ev_per_atom=-3.10 pbc="T T T"
Fe 0.665 -1.840 1.895
Mg 2.689 -1.887 5.325
Zn 2.644 -0.421 0.843
Zn 2.059 -0.069 3.279

=====

4
Lattice="4.605 -0.026 0.000 1.446 4.373 0.000 -3.026 -2.173 2.708" Properties=species:S:1:pos:R:3 comment="MgZnFe2 (PBE, optimized geometry)" total_magnetization_mub_per_cell=4.6 energy_ev_per_atom=-4.81 pbc="T T T"
Fe 0.000 0.000 0.000
Fe 0.723 2.186 1.354
Mg 3.026 2.173 0.000
Zn 2.303 -0.013 1.354

=====

4
Lattice="-0.560 -3.868 1.968 2.012 -0.836 3.795 -2.325 -0.257 3.699" Properties=species:S:1:pos:R:3 comment="MgZn2Fe (PBE, optimized geometry)" total_magnetization_mub_per_cell=2.4 energy_ev_per_atom=-2.99 pbc="T T T"
Fe -0.436 -2.480 4.731
Mg -0.655 -3.721 7.097
Zn 0.000 0.000 0.000
Zn -0.218 -1.240 2.366

=====

4
Lattice="-1.219 -1.312 2.062 1.035 -2.369 -0.881 6.518 1.143 4.580" Properties=species:S:1:pos:R:3 comment="MgZn2Fe (PBE, optimized geometry)" total_magnetization_mub_per_cell=2.3 energy_ev_per_atom=-3.08 pbc="T T T"
Fe 3.168 0.555 2.226
Mg 4.694 -1.001 3.953
Zn 0.092 0.016 0.065
Zn 1.639 -1.537 1.806

=====

5
Lattice="-0.994 -3.925 -1.828 4.127 -0.291 -1.619 1.311 -2.060 3.711" Properties=species:S:1:pos:R:3 comment="MgZnFe3 (PBE, optimized geometry)" total_magnetization_mub_per_cell=7.9 polymorph_energy_mev_per_atom=0 energy_ev_per_atom=-4.69 pbc="T T T"
Mg 2.222 -3.138 0.132
Zn 0.000 0.000 0.000
Fe 2.063 -0.146 -0.810
Fe 0.655 -1.030 1.856
Fe -0.497 -1.963 -0.914

=====

| no. | energy of formation (eV/atom) | density (g/cm3) |
| --- | --- | --- |
| 1 | 0.03 | 6.0 |
| 2 | 0.05 | 5.9 |
| 3 | 0.14 | 6.1 |
| 4 | 0.16 | 5.9 |
| 5 | 0.07 | 5.8 |
| 6 | 0.96 | 4.9 |